# La2AlCdH, optimized geometry, DFT PBE
# Theoretical density = 6.08 Mg/m³
# Polymorph energy (0 for the lowest one) = 0.00 eV/f.u.
data_La2AlCdH
_chemical_formula_sum 'La2 Al1 Cd1 H1'
_cell_length_a 4.9812
_cell_length_b 4.9812
_cell_length_c 4.6053
_cell_angle_alpha 90.00
_cell_angle_beta 90.00
_cell_angle_gamma 90.00
_space_group_name_H-M_alt 'P 4/m m m'
_space_group_IT_number 123
_space_group_name_Hall '-P 4 2'
loop_
_atom_site_label
_atom_site_fract_x
_atom_site_fract_y
_atom_site_fract_z
_atom_site_occupancy
La1 0.0000 0.5000 0.0000 1
Al1 0.0000 0.0000 0.5000 1
Cd1 0.5000 0.5000 0.5000 1
H1 0.5000 0.5000 0.0000 1

=====

# Co3PdPt12, optimized geometry, DFT PBE
# Theoretical density = 18.28 Mg/m³
# Formation energy = -0.07 eV/atom
data_Co3PdPt12
_chemical_formula_sum 'Co3 Pd1 Pt12'
_cell_length_a 3.8974
_cell_length_b 3.8974
_cell_length_c 15.6950
_cell_angle_alpha 90.00
_cell_angle_beta 90.00
_cell_angle_gamma 90.00
_space_group_name_H-M_alt 'P 4/m m m'
_space_group_IT_number 123
_space_group_name_Hall '-P 4 2'
loop_
_atom_site_label
_atom_site_fract_x
_atom_site_fract_y
_atom_site_fract_z
_atom_site_occupancy
Co1 0.0000 0.0000 0.0000 1
Co2 0.0000 0.0000 0.2489 1
Pd1 0.0000 0.0000 0.5000 1
Pt1 0.0000 0.5000 0.1234 1
Pt2 0.0000 0.5000 0.3693 1
Pt3 0.5000 0.5000 0.0000 1
Pt4 0.5000 0.5000 0.2463 1
Pt5 0.5000 0.5000 0.5000 1